# 1
CoNiMo2N, relaxed, DFT GGA-PBE; uncorrected formation energy = -0.039 eV per atom; crystal system = tetragonal; DOS(E_F) = 1.245 states/eV/atom; volume = 12.2 Å³ per atom; SG = P4/mmm
1.0
-3.688 1.662 0.331
-1.146 -1.862 -3.419
-1.139 -2.921 1.973
Mo Ni Co N
2 1 1 1
Cartesian
-1.844 0.831 0.165
-0.573 -0.931 -1.709
-2.986 -1.561 -0.558
-0.570 -1.461 0.986
0.000 0.000 0.000

# 2
LiCr2H, relaxed, DFT GGA-PBE; crystal system = tetragonal; DOS(E_F) = 1.180 states/eV/atom; volume = 12.1 Å³ per atom; SG = I4_1/amd; E = -5.431 eV per atom
1.0
5.158 0.000 0.000
0.000 5.158 0.000
2.579 2.579 3.641
Li H Cr
2 2 4
Cartesian
0.000 0.000 0.000
5.158 2.579 1.821
2.579 5.158 1.821
2.579 2.579 0.000
2.580 1.289 0.910
2.577 3.868 0.910
3.868 5.156 2.731
6.447 5.159 2.731

# 3
NaAl5Ag7, relaxed, DFT GGA-PBE; formation enthalpy at 0 K = -0.8 eV per formula unit; crystal system = orthorhombic; DOS(E_F) = 0.433 states/eV/atom; volume = 18.0 Å³ per atom; SG = Imm2
1.0
5.017 0.000 2.060
2.516 6.570 1.011
0.013 0.001 7.107
Al Ag Na
5 7 1
Cartesian
1.278 3.234 7.604
2.545 6.559 4.519
5.592 5.106 7.798
3.781 3.234 8.632
5.048 6.559 5.547
3.060 1.313 6.825
4.146 2.301 4.182
6.674 4.339 5.164
1.952 1.470 2.386
3.340 4.429 6.144
4.525 5.155 3.259
5.880 2.255 7.098
5.002 0.039 2.096

# 4
K3NaBr, relaxed, DFT GGA-PBE; uncorrected formation energy = -0.621 eV per atom; crystal system = cubic; DOS(E_F) = 0.608 states/eV/atom; volume = 55.5 Å³ per atom; SG = Pm-3m
1.0
6.523 0.000 0.000
0.000 6.523 0.000
0.000 0.000 6.523
K Br Na
3 1 1
Cartesian
3.261 0.000 0.000
0.000 3.261 0.000
0.000 0.000 3.261
0.000 0.000 0.000
3.261 3.261 3.261

# 5
ScIn2Ge, relaxed, DFT GGA-PBE; formation enthalpy at 0 K = -1.2 eV per formula unit; crystal system = tetragonal; DOS(E_F) = 0.427 states/eV/atom; volume = 21.6 Å³ per atom; SG = P4/mmm
1.0
4.834 0.000 0.000
0.000 4.230 0.000
0.000 0.000 4.230
In Ge Sc
2 1 1
Cartesian
0.000 0.000 2.115
0.000 2.115 0.000
2.417 2.115 2.115
2.417 0.000 0.000

# 6
Tb2ScAl2Rh5, relaxed, DFT GGA-PBE; formation enthalpy at 0 K = -9.1 eV per formula unit; crystal system = tetragonal; DOS(E_F) = 0.560 states/eV/atom; volume = 17.4 Å³ per atom; SG = P4/mbm
1.0
-1.234 -0.673 -3.144
-3.483 -8.851 3.262
-8.718 4.348 2.491
Rh Sc Tb Al
10 2 4 4
Cartesian
-5.682 -7.679 1.988
-4.662 -2.894 0.563
-7.753 2.503 0.621
-2.358 -4.762 0.059
-6.851 -4.731 1.816
-4.976 1.838 -0.327
-11.499 -3.288 3.331
-6.584 -0.446 0.793
-8.773 -2.283 2.046
-1.936 -1.888 -0.722
0.000 0.000 0.000
-6.100 -2.252 2.877
-8.752 -4.383 4.374
-3.449 -0.120 1.379
-8.339 0.705 3.122
-3.862 -5.208 2.631
-6.321 -6.116 3.790
-9.807 -1.723 4.218
-5.880 1.613 1.963
-2.394 -2.780 1.535